{
  "formula": "CaBNF2",
  "functional": "PBE-GGA",
  "state": "optimized geometry",
  "space_group": "P4/mmm, No. 123",
  "magmom_total_mub_per_cell": 2.0,
  "rho_g_cm3": 1.9,
  "dft_energy_ha_per_atom": -0.1586,
  "e_form_raw_ev_per_atom": -0.17,
  "lattice": [[4.3104, 0.0000, 0.0000], [0.0000, 4.3104, 0.0000], [0.0000, 0.0000, 4.9674]],
  "species": ["Ca", "B", "N", "F", "F"],
  "fractional_positions": [[0.0000, 0.0000, 0.0000], [0.5000, 0.5000, 0.5000], [0.0000, 0.0000, 0.5000], [0.0000, 0.5000, 0.0000], [0.5000, 0.0000, 0.0000]]
}